No. 1
# Ba2Li2CdO4 | the Alexandria database | PBE-GGA | relaxed
# - symmetry = C2/m, No. 12
# - ΔE_f (raw) (kJ per mole of atoms) = -179.7
data_Ba2Li2CdO4
_chemical_formula_sum 'Ba2 Li2 Cd1 O4'
_symmetry_space_group_name_H-M 'P 1'
_symmetry_Int_Tables_number 1
_symmetry_space_group_name_Hall 'P 1'
_cell_length_a 6.927
_cell_length_b 6.927
_cell_length_c 6.080
_cell_angle_alpha 106.42
_cell_angle_beta 106.42
_cell_angle_gamma 29.00
loop_
_atom_site_label
_atom_site_fract_x
_atom_site_fract_y
_atom_site_fract_z
Ba1 0.134 0.134 0.065
Ba2 0.866 0.866 0.935
Li1 0.323 0.323 0.480
Li2 0.677 0.677 0.520
Cd1 0.000 0.000 0.500
O1 0.217 0.217 0.699
O2 0.467 0.467 0.726
O3 0.533 0.533 0.274
O4 0.783 0.783 0.301

***

No. 2
# TbHo2ReO8 | the Alexandria database | PBE-GGA | relaxed
# - symmetry = Cmmm, No. 65
# - ΔE_f (raw) (kJ per mole of atoms) = -270.3
data_TbHo2ReO8
_chemical_formula_sum 'Tb1 Ho2 Re1 O8'
_symmetry_space_group_name_H-M 'P 1'
_symmetry_Int_Tables_number 1
_symmetry_space_group_name_Hall 'P 1'
_cell_length_a 5.034
_cell_length_b 5.034
_cell_length_c 6.745
_cell_angle_alpha 90.00
_cell_angle_beta 90.00
_cell_angle_gamma 90.50
loop_
_atom_site_label
_atom_site_fract_x
_atom_site_fract_y
_atom_site_fract_z
Tb1 0.000 0.000 0.000
Ho1 0.500 0.500 0.248
Ho2 0.500 0.500 0.752
Re1 0.000 0.000 0.500
O1 0.182 0.818 0.293
O2 0.182 0.818 0.707
O3 0.268 0.268 0.500
O4 0.309 0.309 0.000
O5 0.691 0.691 0.000
O6 0.732 0.732 0.500
O7 0.818 0.182 0.293
O8 0.818 0.182 0.707

***

No. 3
# LiZr2Te | the Alexandria database | PBE-GGA | relaxed
# - symmetry = Pmmm, No. 47
# - ΔE_f (raw) (kJ per mole of atoms) = -28.0
data_LiZr2Te
_chemical_formula_sum 'Li1 Zr2 Te1'
_symmetry_space_group_name_H-M 'P 1'
_symmetry_Int_Tables_number 1
_symmetry_space_group_name_Hall 'P 1'
_cell_length_a 4.098
_cell_length_b 4.283
_cell_length_c 4.720
_cell_angle_alpha 90.00
_cell_angle_beta 90.00
_cell_angle_gamma 90.00
loop_
_atom_site_label
_atom_site_fract_x
_atom_site_fract_y
_atom_site_fract_z
Li1 0.000 0.000 0.000
Zr1 0.000 0.500 0.500
Zr2 0.500 0.000 0.500
Te1 0.500 0.500 0.000

***

No. 4
# Cu2BiN | the Alexandria database | PBE-GGA | relaxed
# - symmetry = Fm-3m, No. 225
# - ΔE_f (raw) (kJ per mole of atoms) = 113.4
# - E above lowest polymorph (meV/atom) = 760
data_Cu2BiN
_chemical_formula_sum 'Cu2 Bi1 N1'
_symmetry_space_group_name_H-M 'P 1'
_symmetry_Int_Tables_number 1
_symmetry_space_group_name_Hall 'P 1'
_cell_length_a 4.412
_cell_length_b 4.412
_cell_length_c 4.412
_cell_angle_alpha 60.00
_cell_angle_beta 60.00
_cell_angle_gamma 60.00
loop_
_atom_site_label
_atom_site_fract_x
_atom_site_fract_y
_atom_site_fract_z
Cu1 0.250 0.250 0.250
Cu2 0.750 0.750 0.750
Bi1 0.000 0.000 0.000
N1 0.500 0.500 0.500

***

No. 5
# AcGdHo | the Alexandria database | PBE-GGA | relaxed
# - symmetry = P3m1, No. 156
# - formation enthalpy at 0 K (eV/f.u.) = 0.18
# - E above lowest polymorph (meV/atom) = 3
data_AcGdHo
_chemical_formula_sum 'Ac1 Gd1 Ho1'
_symmetry_space_group_name_H-M 'P 1'
_symmetry_Int_Tables_number 1
_symmetry_space_group_name_Hall 'P 1'
_cell_length_a 3.736
_cell_length_b 3.736
_cell_length_c 8.911
_cell_angle_alpha 90.00
_cell_angle_beta 90.00
_cell_angle_gamma 120.00
loop_
_atom_site_label
_atom_site_fract_x
_atom_site_fract_y
_atom_site_fract_z
Ac1 0.000 0.000 0.000
Gd1 0.333 0.667 0.654
Ho1 0.667 0.333 0.339

***

What are the volume values for these records? In order: 15.0, 14.2, 20.7, 15.2, 35.9 Å³ per atom.
What are the total energy values for these records? In order: -5.021, -8.293, -5.828, -3.925, -7.530 eV per atom.
What are the total magnetic moment values for these records? In order: 0.000, 0.000, 0.000, 0.000, 2.495 μB per atom.